The following is a PBE calculation of a relaxed CuCF2 crystal, from Alexandria.

```
CuCF2
1.0
-4.8867 1.6567 4.5565
-4.4361 -0.9406 5.1791
-2.8339 0.9930 6.1943
C Cu F
1 1 2
Direct
0.0000 0.0000 0.0000
0.5000 0.5000 0.5000
0.9075 0.9075 0.9075
0.0925 0.0925 0.0925
```

Output
The calculation puts the uncorrected formation energy at 517 meV per atom. The space-group type is R-3m (166). The energy above the most stable polymorph in this dataset is 0 meV per atom.